A geometry-optimized BaTiC3 structure, computed with PBE.

Cell lengths 4.4952, 4.4952, 4.4952 Å; angles 90.00, 90.00, 90.00 degrees
Fractional coordinates of all 5 atoms:
1 Ti 0.5000 0.5000 0.5000
2 C 0.0000 0.5000 0.0000
3 C 0.0000 0.0000 0.5000
4 C 0.5000 0.0000 0.0000
5 Ba 0.0000 0.0000 0.0000

Values from the calculation:
Total energy ... -4.0729 eV per atom
SG ... Pm-3m (221)
DOS at the Fermi energy ... 4.138 states/eV/f.u.